No. 1
# DyYO3, optimized geometry, DFT PBE-GGA
data_DyYO3
_symmetry_space_group_name_H-M 'R -3'
_symmetry_Int_Tables_number 148
_symmetry_space_group_name_Hall '-R 3'
_cell_length_a 5.8213
_cell_length_b 5.8213
_cell_length_c 15.2210
_cell_angle_alpha 90.00
_cell_angle_beta 90.00
_cell_angle_gamma 120.00
loop_
_atom_site_label
_atom_site_fract_x
_atom_site_fract_y
_atom_site_fract_z
Dy1 0.0000 0.0000 0.1418
Y1 0.0000 0.0000 0.3584
O1 0.0005 0.7076 0.7502
# Formation energy from raw total energies, eV/atom: -3.5205
# Calculated density, g cm⁻³: 6.7
# Magnetization, Bohr magnetons per cell: 0.0


No. 2
# Dy11Y5O24, optimized geometry, DFT PBE-GGA
data_Dy11Y5O24
_symmetry_space_group_name_H-M 'P 1'
_symmetry_Int_Tables_number 1
_cell_length_a 9.252
_cell_length_b 9.252
_cell_length_c 9.252
_cell_angle_alpha 109.46
_cell_angle_beta 109.48
_cell_angle_gamma 109.48
loop_
_symmetry_equiv_pos_as_xyz
'x,y,z'
loop_
_atom_site_label
_atom_site_fract_x
_atom_site_fract_y
_atom_site_fract_z
Dy1 0.000 0.000 0.000
Dy2 0.000 0.500 0.499
Dy3 0.033 0.750 0.282
Dy4 0.217 0.467 0.250
Dy5 0.250 0.282 0.532
Dy6 0.250 0.783 0.033
Dy7 0.467 0.250 0.217
Dy8 0.500 0.000 0.500
Dy9 0.717 0.967 0.250
Dy10 0.750 0.217 0.967
Dy11 0.750 0.717 0.467
Y1 0.282 0.032 0.750
Y2 0.500 0.500 0.000
Y3 0.532 0.750 0.782
Y4 0.783 0.533 0.750
Y5 0.967 0.250 0.717
O1 0.011 0.240 0.969
O2 0.031 0.770 0.542
O3 0.043 0.532 0.770
O4 0.228 0.988 0.958
O5 0.229 0.260 0.771
O6 0.240 0.228 0.270
O7 0.260 0.031 0.488
O8 0.270 0.542 0.530
O9 0.272 0.729 0.260
O10 0.457 0.728 0.989
O11 0.469 0.511 0.240
O12 0.489 0.957 0.728
O13 0.511 0.042 0.272
O14 0.530 0.488 0.759
O15 0.543 0.272 0.012
O16 0.728 0.270 0.739
O17 0.729 0.457 0.468
O18 0.739 0.968 0.510
O19 0.761 0.772 0.729
O20 0.771 0.740 0.228
O21 0.772 0.012 0.042
O22 0.957 0.469 0.229
O23 0.969 0.229 0.457
O24 0.989 0.761 0.031
# Formation energy from raw total energies, eV/atom: -3.5798
# Calculated density, g cm⁻³: 7.1
# Magnetization, Bohr magnetons per cell: 0.0


No. 3
# Dy3Y5O12, optimized geometry, DFT PBE-GGA
data_Dy3Y5O12
_symmetry_space_group_name_H-M 'P 1'
_symmetry_Int_Tables_number 1
_cell_length_a 9.258
_cell_length_b 9.259
_cell_length_c 9.259
_cell_angle_alpha 109.47
_cell_angle_beta 109.48
_cell_angle_gamma 109.46
loop_
_symmetry_equiv_pos_as_xyz
'x,y,z'
loop_
_atom_site_label
_atom_site_fract_x
_atom_site_fract_y
_atom_site_fract_z
Dy1 0.000 0.000 0.000
Dy2 0.033 0.217 0.750
Dy3 0.250 0.467 0.283
Dy4 0.533 0.783 0.815
Dy5 0.750 0.967 0.283
Dy6 0.815 0.533 0.783
Y1 0.033 0.717 0.250
Y2 0.065 0.500 0.565
Y3 0.283 0.250 0.533
Y4 0.283 0.750 0.033
Y5 0.315 0.032 0.783
Y6 0.500 0.000 0.500
Y7 0.533 0.283 0.315
Y8 0.565 0.500 0.065
Y9 0.783 0.250 0.033
Y10 0.783 0.750 0.533
O1 0.011 0.489 0.303
O2 0.012 0.218 0.490
O3 0.023 0.261 0.002
O4 0.043 0.479 0.804
O5 0.053 0.979 0.773
O6 0.054 0.793 0.044
O7 0.240 0.979 0.501
O8 0.251 0.207 0.262
O9 0.272 0.781 0.793
O10 0.294 0.718 0.272
O11 0.313 0.292 0.803
O12 0.326 0.521 0.564
O13 0.511 0.708 0.021
O14 0.512 0.522 0.293
O15 0.523 0.021 0.261
O16 0.543 0.239 0.064
O17 0.554 0.282 0.576
O18 0.555 0.010 0.762
O19 0.740 0.739 0.761
O20 0.752 0.990 0.544
O21 0.771 0.478 0.990
O22 0.794 0.021 0.075
O23 0.814 0.511 0.522
O24 0.825 0.762 0.304
# Formation energy from raw total energies, eV/atom: -3.5678
# Calculated density, g cm⁻³: 6.1
# Magnetization, Bohr magnetons per cell: 0.0